Entry 1:
# RbBiPd2 (GGA-PBE, optimized geometry)
# VASP energy: -16.58 eV per formula unit
data_RbBiPd2
_chemical_formula_sum 'Rb2 Bi2 Pd4'
_cell_length_a 4.777
_cell_length_b 7.536
_cell_length_c 6.614
_cell_angle_alpha 90.00
_cell_angle_beta 90.00
_cell_angle_gamma 90.00
_symmetry_space_group_name_H-M 'P m m n'
_symmetry_Int_Tables_number 59
loop_
_symmetry_equiv_pos_as_xyz
'x,y,z'
'-x,-y,-z'
'-x+1/2,-y+1/2,z'
'x+1/2,y+1/2,-z'
'x+1/2,-y,-z'
'-x+1/2,y,z'
'-x,y+1/2,-z'
'x,-y+1/2,z'
loop_
_atom_site_label
_atom_site_type_symbol
_atom_site_fract_x
_atom_site_fract_y
_atom_site_fract_z
Rb1 Rb 0.250 0.250 0.119
Bi1 Bi 0.250 0.750 0.371
Pd1 Pd 0.250 0.062 0.592

---

Entry 2:
# RbBiPd (GGA-PBE, optimized geometry)
# excess energy over the best structure of this formula in the dataset: 0.000 eV per atom
# VASP energy: -9.75 eV per formula unit
data_RbBiPd
_chemical_formula_sum 'Rb4 Bi4 Pd4'
_cell_length_a 7.240
_cell_length_b 7.240
_cell_length_c 7.240
_cell_angle_alpha 90.00
_cell_angle_beta 90.00
_cell_angle_gamma 90.00
_symmetry_space_group_name_H-M 'F -4 3 m'
_symmetry_Int_Tables_number 216
_symmetry_space_group_name_Hall 'F -4 2 3'
loop_
_atom_site_label
_atom_site_type_symbol
_atom_site_fract_x
_atom_site_fract_y
_atom_site_fract_z
Rb1 Rb 0.000 0.000 0.000
Bi1 Bi 0.000 0.000 0.500
Pd1 Pd 0.250 0.250 0.750

---

Entry 3:
# RbBiPd (GGA-PBE, optimized geometry)
# excess energy over the best structure of this formula in the dataset: 0.703 eV per atom
# VASP energy: -7.65 eV per formula unit
data_RbBiPd
_chemical_formula_sum 'Rb4 Bi4 Pd4'
_cell_length_a 7.555
_cell_length_b 7.555
_cell_length_c 7.555
_cell_angle_alpha 90.00
_cell_angle_beta 90.00
_cell_angle_gamma 90.00
_symmetry_space_group_name_H-M 'F -4 3 m'
_symmetry_Int_Tables_number 216
_symmetry_space_group_name_Hall 'F -4 2 3'
loop_
_atom_site_label
_atom_site_type_symbol
_atom_site_fract_x
_atom_site_fract_y
_atom_site_fract_z
Rb1 Rb 0.000 0.000 0.000
Bi1 Bi 0.250 0.250 0.750
Pd1 Pd 0.250 0.250 0.250

---

Entry 4:
# RbBiPdS3 (GGA-PBE, optimized geometry)
# VASP energy: -25.59 eV per formula unit
data_RbBiPdS3
_chemical_formula_sum 'Rb2 Bi2 Pd2 S6'
_cell_length_a 9.040
_cell_length_b 4.184
_cell_length_c 9.578
_cell_angle_alpha 90.00
_cell_angle_beta 105.55
_cell_angle_gamma 90.00
_symmetry_space_group_name_H-M 'P 1 21/m 1'
_symmetry_Int_Tables_number 11
_symmetry_space_group_name_Hall '-P 2yb'
loop_
_atom_site_label
_atom_site_type_symbol
_atom_site_fract_x
_atom_site_fract_y
_atom_site_fract_z
Rb1 Rb 0.187 0.250 0.230
Bi1 Bi 0.336 0.750 0.865
Pd1 Pd 0.081 0.250 0.580
S1 S 0.128 0.250 0.856
S2 S 0.186 0.750 0.537
S3 S 0.445 0.750 0.151

---

Entry 5:
# ReBiPd (GGA-PBE, optimized geometry)
# VASP energy: -19.48 eV per formula unit
data_ReBiPd
_chemical_formula_sum 'Re4 Bi4 Pd4'
_cell_length_a 6.366
_cell_length_b 6.366
_cell_length_c 6.366
_cell_angle_alpha 90.00
_cell_angle_beta 90.00
_cell_angle_gamma 90.00
_symmetry_space_group_name_H-M 'F -4 3 m'
_symmetry_Int_Tables_number 216
_symmetry_space_group_name_Hall 'F -4 2 3'
loop_
_atom_site_label
_atom_site_type_symbol
_atom_site_fract_x
_atom_site_fract_y
_atom_site_fract_z
Re1 Re 0.000 0.000 0.000
Bi1 Bi 0.250 0.250 0.750
Pd1 Pd 0.250 0.250 0.250

---

Entry 6:
# ReBiPd2 (GGA-PBE, optimized geometry)
# VASP energy: -25.11 eV per formula unit
data_ReBiPd2
_chemical_formula_sum 'Re4 Bi4 Pd8'
_cell_length_a 6.527
_cell_length_b 6.527
_cell_length_c 6.527
_cell_angle_alpha 90.00
_cell_angle_beta 90.00
_cell_angle_gamma 90.00
_symmetry_space_group_name_H-M 'F -4 3 m'
_symmetry_Int_Tables_number 216
_symmetry_space_group_name_Hall 'F -4 2 3'
loop_
_atom_site_label
_atom_site_type_symbol
_atom_site_fract_x
_atom_site_fract_y
_atom_site_fract_z
Re1 Re 0.000 0.000 0.000
Bi1 Bi 0.250 0.250 0.750
Pd1 Pd 0.000 0.000 0.500
Pd2 Pd 0.250 0.250 0.250

---

Entry 7:
# Bi8Pd2S (GGA-PBE, optimized geometry)
# VASP energy: -47.09 eV per formula unit
data_Bi8Pd2S
_chemical_formula_sum 'Bi32 Pd8 S4'
_cell_length_a 10.310
_cell_length_b 10.310
_cell_length_c 11.835
_cell_angle_alpha 90.00
_cell_angle_beta 90.00
_cell_angle_gamma 90.00
_symmetry_space_group_name_H-M 'P 42/m n m'
_symmetry_Int_Tables_number 136
_symmetry_space_group_name_Hall '-P 4n 2n'
loop_
_atom_site_label
_atom_site_type_symbol
_atom_site_fract_x
_atom_site_fract_y
_atom_site_fract_z
Bi1 Bi 0.000 0.000 0.212
Bi2 Bi 0.055 0.312 0.331
Bi3 Bi 0.107 0.893 0.500
Bi4 Bi 0.159 0.159 0.000
Bi5 Bi 0.159 0.841 0.000
Pd1 Pd 0.203 0.797 0.286
S1 S 0.000 0.500 0.000

---

Entry 8:
# Bi4PdS7 (GGA-PBE, optimized geometry)
# VASP energy: -52.66 eV per formula unit
data_Bi4PdS7
_chemical_formula_sum 'Bi8 Pd2 S14'
_cell_length_a 15.607
_cell_length_b 4.625
_cell_length_c 11.032
_cell_angle_alpha 90.00
_cell_angle_beta 132.74
_cell_angle_gamma 90.00
_symmetry_space_group_name_H-M 'C 1 2/m 1'
_symmetry_Int_Tables_number 12
_symmetry_space_group_name_Hall '-C 2y'
loop_
_atom_site_label
_atom_site_type_symbol
_atom_site_fract_x
_atom_site_fract_y
_atom_site_fract_z
Bi1 Bi 0.079 0.000 0.272
Bi2 Bi 0.231 0.000 0.823
Pd1 Pd 0.000 0.500 0.500
S1 S 0.000 0.000 0.500
S2 S 0.067 0.500 0.769
S3 S 0.134 0.000 0.071
S4 S 0.219 0.500 0.364

---

Entry 9:
# TlBiPdS3 (GGA-PBE, optimized geometry)
# VASP energy: -25.29 eV per formula unit
data_TlBiPdS3
_chemical_formula_sum 'Tl2 Bi2 Pd2 S6'
_cell_length_a 8.149
_cell_length_b 3.957
_cell_length_c 10.484
_cell_angle_alpha 90.00
_cell_angle_beta 108.18
_cell_angle_gamma 90.00
_symmetry_space_group_name_H-M 'P 1 21/m 1'
_symmetry_Int_Tables_number 11
_symmetry_space_group_name_Hall '-P 2yb'
loop_
_atom_site_label
_atom_site_type_symbol
_atom_site_fract_x
_atom_site_fract_y
_atom_site_fract_z
Tl1 Tl 0.249 0.250 0.214
Bi1 Bi 0.191 0.750 0.637
Pd1 Pd 0.399 0.250 0.895
S1 S 0.068 0.750 0.369
S2 S 0.300 0.750 0.975
S3 S 0.444 0.250 0.673

---

Entry 10:
# Sc2BiSbPd2 (GGA-PBE, optimized geometry)
# VASP energy: -36.81 eV per formula unit
data_Sc2BiSbPd2
_chemical_formula_sum 'Sc8 Bi4 Sb4 Pd8'
_cell_length_a 11.145
_cell_length_b 4.548
_cell_length_c 11.150
_cell_angle_alpha 90.00
_cell_angle_beta 109.47
_cell_angle_gamma 90.00
_symmetry_space_group_name_H-M 'P 1 m 1'
_symmetry_Int_Tables_number 6
_symmetry_space_group_name_Hall 'P -2y'
loop_
_atom_site_label
_atom_site_type_symbol
_atom_site_fract_x
_atom_site_fract_y
_atom_site_fract_z
Sc1 Sc 0.000 0.000 0.000
Sc2 Sc 0.122 0.500 0.375
Sc3 Sc 0.246 0.000 0.747
Sc4 Sc 0.375 0.500 0.129
Sc5 Sc 0.500 0.000 0.500
Sc6 Sc 0.625 0.500 0.872
Sc7 Sc 0.749 0.000 0.253
Sc8 Sc 0.872 0.500 0.623
Bi1 Bi 0.123 0.500 0.875
Bi2 Bi 0.374 0.500 0.624
Bi3 Bi 0.500 0.000 0.002
Bi4 Bi 0.874 0.500 0.126
Sb1 Sb 0.249 0.000 0.251
Sb2 Sb 0.624 0.500 0.375
Sb3 Sb 0.748 0.000 0.749
Sb4 Sb 0.998 0.000 0.499
Pd1 Pd 0.129 0.500 0.131
Pd2 Pd 0.243 0.000 0.494
Pd3 Pd 0.373 0.500 0.875
Pd4 Pd 0.500 0.000 0.257
Pd5 Pd 0.628 0.500 0.624
Pd6 Pd 0.750 0.000 0.994
Pd7 Pd 0.873 0.500 0.380
Pd8 Pd 0.993 0.000 0.744

---

Entry 11:
# ScBiPd (GGA-PBE, optimized geometry)
# VASP energy: -16.85 eV per formula unit
data_ScBiPd
_chemical_formula_sum 'Sc3 Bi3 Pd3'
_cell_length_a 7.9362
_cell_length_b 7.9362
_cell_length_c 3.6164
_cell_angle_alpha 90.00
_cell_angle_beta 90.00
_cell_angle_gamma 120.00
_symmetry_space_group_name_H-M 'P -6 2 m'
_symmetry_Int_Tables_number 189
_symmetry_space_group_name_Hall 'P -6 -2'
loop_
_atom_site_label
_atom_site_type_symbol
_atom_site_fract_x
_atom_site_fract_y
_atom_site_fract_z
Sc1 Sc 0.0000 0.2859 0.0000
Bi1 Bi 0.0000 0.0000 0.5000
Bi2 Bi 0.3333 0.6667 0.0000
Pd1 Pd 0.0000 0.6386 0.5000

---

Entry 12:
# ScBiPd (GGA-PBE, optimized geometry)
# VASP energy: -17.47 eV per formula unit
data_ScBiPd
_chemical_formula_sum 'Sc3 Bi3 Pd3'
_cell_length_a 7.5451
_cell_length_b 7.5451
_cell_length_c 3.9590
_cell_angle_alpha 90.00
_cell_angle_beta 90.00
_cell_angle_gamma 120.00
_symmetry_space_group_name_H-M 'P -6 2 m'
_symmetry_Int_Tables_number 189
_symmetry_space_group_name_Hall 'P -6 -2'
loop_
_atom_site_label
_atom_site_type_symbol
_atom_site_fract_x
_atom_site_fract_y
_atom_site_fract_z
Sc1 Sc 0.0000 0.6127 0.0000
Bi1 Bi 0.0000 0.2771 0.5000
Pd1 Pd 0.0000 0.0000 0.0000
Pd2 Pd 0.3333 0.6667 0.5000

---

Entry 13:
# ScBiPd (GGA-PBE, optimized geometry)
# VASP energy: -17.24 eV per formula unit
data_ScBiPd
_chemical_formula_sum 'Sc4 Bi4 Pd4'
_cell_length_a 5.647
_cell_length_b 4.504
_cell_length_c 10.206
_cell_angle_alpha 90.00
_cell_angle_beta 90.00
_cell_angle_gamma 90.00
_symmetry_space_group_name_H-M 'P n m a'
_symmetry_Int_Tables_number 62
_symmetry_space_group_name_Hall '-P 2ac 2n'
loop_
_atom_site_label
_atom_site_type_symbol
_atom_site_fract_x
_atom_site_fract_y
_atom_site_fract_z
Sc1 Sc 0.233 0.250 0.147
Bi1 Bi 0.135 0.250 0.847
Pd1 Pd 0.154 0.250 0.470

---

Entry 14:
# ScBiPd (GGA-PBE, optimized geometry)
# VASP energy: -17.49 eV per formula unit
data_ScBiPd
_chemical_formula_sum 'Sc3 Bi3 Pd3'
_cell_length_a 7.3182
_cell_length_b 7.3182
_cell_length_c 4.1643
_cell_angle_alpha 90.00
_cell_angle_beta 90.00
_cell_angle_gamma 120.00
_symmetry_space_group_name_H-M 'P -6 2 m'
_symmetry_Int_Tables_number 189
_symmetry_space_group_name_Hall 'P -6 -2'
loop_
_atom_site_label
_atom_site_type_symbol
_atom_site_fract_x
_atom_site_fract_y
_atom_site_fract_z
Sc1 Sc 0.0000 0.5862 0.0000
Bi1 Bi 0.0000 0.0000 0.0000
Bi2 Bi 0.3333 0.6667 0.5000
Pd1 Pd 0.0000 0.2614 0.5000

---

Entry 15:
# ScBiPd (GGA-PBE, optimized geometry)
# VASP energy: -17.61 eV per formula unit
data_ScBiPd
_chemical_formula_sum 'Sc4 Bi4 Pd4'
_cell_length_a 7.296
_cell_length_b 4.335
_cell_length_c 8.204
_cell_angle_alpha 90.00
_cell_angle_beta 90.00
_cell_angle_gamma 90.00
_symmetry_space_group_name_H-M 'P n m a'
_symmetry_Int_Tables_number 62
_symmetry_space_group_name_Hall '-P 2ac 2n'
loop_
_atom_site_label
_atom_site_type_symbol
_atom_site_fract_x
_atom_site_fract_y
_atom_site_fract_z
Sc1 Sc 0.035 0.250 0.223
Bi1 Bi 0.222 0.250 0.899
Pd1 Pd 0.115 0.250 0.571

---

Entry 16:
# Sc2BiPd2 (GGA-PBE, optimized geometry)
# VASP energy: -31.08 eV per formula unit
data_Sc2BiPd2
_chemical_formula_sum 'Sc4 Bi2 Pd4'
_cell_length_a 7.710
_cell_length_b 7.710
_cell_length_c 3.376
_cell_angle_alpha 90.00
_cell_angle_beta 90.00
_cell_angle_gamma 90.00
_symmetry_space_group_name_H-M 'P 4/m b m'
_symmetry_Int_Tables_number 127
_symmetry_space_group_name_Hall '-P 4 2ab'
loop_
_atom_site_label
_atom_site_type_symbol
_atom_site_fract_x
_atom_site_fract_y
_atom_site_fract_z
Sc1 Sc 0.164 0.336 0.000
Bi1 Bi 0.000 0.000 0.500
Pd1 Pd 0.128 0.628 0.500

---

Entry 17:
# ScBiPdSe3 (GGA-PBE, optimized geometry)
# excess energy over the best structure of this formula in the dataset: 0.000 eV per atom
# VASP energy: -31.12 eV per formula unit
data_ScBiPdSe3
_chemical_formula_sum 'Sc2 Bi2 Pd2 Se6'
_cell_length_a 7.696
_cell_length_b 3.903
_cell_length_c 9.569
_cell_angle_alpha 90.00
_cell_angle_beta 102.77
_cell_angle_gamma 90.00
_symmetry_space_group_name_H-M 'P 1 21/m 1'
_symmetry_Int_Tables_number 11
_symmetry_space_group_name_Hall '-P 2yb'
loop_
_atom_site_label
_atom_site_type_symbol
_atom_site_fract_x
_atom_site_fract_y
_atom_site_fract_z
Sc1 Sc 0.164 0.250 0.151
Bi1 Bi 0.330 0.750 0.683
Pd1 Pd 0.428 0.750 0.392
Se1 Se 0.082 0.250 0.857
Se2 Se 0.204 0.250 0.446
Se3 Se 0.408 0.750 0.123

---

Entry 18:
# ScBiPdSe3 (GGA-PBE, optimized geometry)
# excess energy over the best structure of this formula in the dataset: 0.022 eV per atom
# VASP energy: -30.99 eV per formula unit
data_ScBiPdSe3
_chemical_formula_sum 'Sc4 Bi4 Pd4 Se12'
_cell_length_a 3.892
_cell_length_b 14.151
_cell_length_c 10.298
_cell_angle_alpha 90.00
_cell_angle_beta 90.00
_cell_angle_gamma 90.00
_symmetry_space_group_name_H-M 'C m c m'
_symmetry_Int_Tables_number 63
_symmetry_space_group_name_Hall '-C 2c 2'
loop_
_atom_site_label
_atom_site_type_symbol
_atom_site_fract_x
_atom_site_fract_y
_atom_site_fract_z
Sc1 Sc 0.000 0.000 0.000
Bi1 Bi 0.000 0.194 0.250
Pd1 Pd 0.000 0.448 0.750
Se1 Se 0.000 0.072 0.750
Se2 Se 0.000 0.362 0.530

---

Entry 19:
# Bi8Pd2Se (GGA-PBE, optimized geometry)
# VASP energy: -46.48 eV per formula unit
data_Bi8Pd2Se
_chemical_formula_sum 'Bi32 Pd8 Se4'
_cell_length_a 10.528
_cell_length_b 10.528
_cell_length_c 11.360
_cell_angle_alpha 90.00
_cell_angle_beta 90.00
_cell_angle_gamma 90.00
_symmetry_space_group_name_H-M 'P 42/m n m'
_symmetry_Int_Tables_number 136
_symmetry_space_group_name_Hall '-P 4n 2n'
loop_
_atom_site_label
_atom_site_type_symbol
_atom_site_fract_x
_atom_site_fract_y
_atom_site_fract_z
Bi1 Bi 0.000 0.000 0.214
Bi2 Bi 0.052 0.305 0.323
Bi3 Bi 0.107 0.893 0.500
Bi4 Bi 0.157 0.843 0.000
Bi5 Bi 0.160 0.160 0.000
Pd1 Pd 0.204 0.796 0.280
Se1 Se 0.000 0.500 0.000